Density functional theory data (PBE) for a relaxed PuF crystal.

a b c (Å): 4.092 4.091 6.433
angles (deg): 90.00 90.00 119.95
Site moments in Bohr magnetons follow the coordinates.
Atoms (fractional coordinates):
Pu1 0.665 0.334 0.250  5.59
F1 0.001 0.999 0.750  -0.02
Pu2 0.335 0.666 0.750  5.59
F2 0.999 0.001 0.250  -0.02

Computed properties:
The theoretical density comes out at 9.360 Mg/m³. The uncorrected formation energy is -1.98 eV/atom.